Compound: Hf4Ga5Au3
Source: Alexandria via LeMat-Bulk
Functional: PBE
Structure: relaxed

Geometry as extended XYZ:
```
12
Lattice="6.314 -2.387 0.000 6.314 2.387 0.000 -5.322 0.000 7.969" Properties=species:S:1:pos:R:3 pbc="T T T"
Hf -1.322 0.000 2.733
Hf -0.922 0.000 5.881
Hf 8.227 0.000 2.088
Hf 8.627 0.000 5.236
Ga 2.547 0.000 0.022
Ga 3.447 0.000 2.557
Ga 6.314 0.000 0.000
Ga 3.858 0.000 5.412
Ga 4.759 0.000 7.947
Au 0.000 0.000 0.000
Au 1.311 0.000 4.166
Au 5.995 0.000 3.802
```

Calculated values
E: -5.608 eV/atom
Space-group type: No. 12